Below is an optimized crystal structure of Cr4CuPb, with properties calculated at the GGA-PBE level.

As for the total energy: -7.1050 eV/atom. The calculation puts the formation enthalpy at 0 K at 0.611 eV per atom.

It has space group F-43m (No. 216), with a = 6.967 Å, b = 6.967 Å, c = 6.967 Å, α = 90.00°, β = 90.00° and γ = 90.00°. The inequivalent atoms are Cr at (0.121, 0.121, 0.121), Cu at (0.250, 0.250, 0.750) and Pb at (0.000, 0.000, 0.500).